Material: Ho7Ga2Cu2
Method: DFT, GGA-PBE
State: relaxed

a = 6.668 Å, b = 6.908 Å, c = 6.668 Å
α = 90.00°, β = 109.89°, γ = 90.00°
Sites, in units of the cell vectors:
Ho1 0.000 0.264 0.500
Ho2 0.500 0.736 0.000
Ho3 0.000 0.736 0.500
Ho4 0.500 0.264 0.000
Ho5 0.000 0.000 0.000
Ho6 0.500 0.747 0.500
Ho7 0.500 0.253 0.500
Ga1 0.833 0.500 0.833
Ga2 0.167 0.500 0.167
Cu1 0.704 0.000 0.296
Cu2 0.296 0.000 0.704

Values from the calculation:
- Density of states at the Fermi level: 10.397 states/eV/cell



Material: Ho3Ga7Cu2
Method: DFT, GGA-PBE
State: relaxed

a = 4.158 Å, b = 4.169 Å, c = 13.196 Å
α = 99.01°, β = 90.00°, γ = 90.00°
Sites, in units of the cell vectors:
Ho1 0.500 0.500 0.000
Ho2 0.000 0.184 0.368
Ho3 0.000 0.816 0.632
Ga1 0.500 0.725 0.449
Ga2 0.500 0.275 0.551
Ga3 0.000 0.583 0.168
Ga4 0.000 0.000 0.000
Ga5 0.000 0.417 0.832
Ga6 0.500 0.916 0.831
Ga7 0.500 0.084 0.169
Cu1 0.500 0.633 0.267
Cu2 0.500 0.367 0.733

Values from the calculation:
- Density of states at the Fermi level: 5.796 states/eV/cell



Material: HoGa4Cu2
Method: DFT, GGA-PBE
State: relaxed

a = 4.193 Å, b = 4.203 Å, c = 7.227 Å
α = 106.90°, β = 90.00°, γ = 90.00°
Sites, in units of the cell vectors:
Ho1 0.000 0.000 0.000
Ga1 0.500 0.821 0.641
Ga2 0.000 0.681 0.363
Ga3 0.500 0.179 0.359
Ga4 0.000 0.319 0.637
Cu1 0.500 0.586 0.171
Cu2 0.500 0.414 0.829

Values from the calculation:
- Density of states at the Fermi level: 2.197 states/eV/cell
- Polymorph energy (0 for the lowest one): 0.108 eV per atom



Material: Ho2Ga6Cu
Method: DFT, GGA-PBE
State: relaxed

a = 4.185 Å, b = 3.716 Å, c = 11.698 Å
α = 90.00°, β = 100.30°, γ = 90.00°
Sites, in units of the cell vectors:
Ho1 0.331 0.000 0.661
Ho2 0.997 0.000 0.993
Ga1 0.706 0.000 0.413
Ga2 0.219 0.500 0.437
Ga3 0.107 0.500 0.214
Ga4 0.593 0.000 0.185
Ga5 0.449 0.500 0.898
Ga6 0.886 0.500 0.773
Cu1 0.781 0.500 0.562

Values from the calculation:
- Density of states at the Fermi level: 4.689 states/eV/cell



Material: HoGa4Cu8
Method: DFT, GGA-PBE
State: relaxed

a = 5.043 Å, b = 6.566 Å, c = 6.566 Å
α = 81.52°, β = 67.42°, γ = 67.42°
Sites, in units of the cell vectors:
Ho1 0.000 0.000 0.000
Ga1 0.000 0.000 0.500
Ga2 0.500 0.000 0.500
Ga3 0.000 0.500 0.000
Ga4 0.500 0.500 0.000
Cu1 0.000 0.354 0.646
Cu2 0.000 0.646 0.354
Cu3 0.354 0.646 0.646
Cu4 0.646 0.354 0.354
Cu5 0.500 0.783 0.217
Cu6 0.500 0.217 0.783
Cu7 0.283 0.217 0.217
Cu8 0.717 0.783 0.783

Values from the calculation:
- Density of states at the Fermi level: 4.815 states/eV/cell



Material: Ho2Ga3Cu2
Method: DFT, GGA-PBE
State: relaxed

a = 4.192 Å, b = 6.911 Å, c = 9.290 Å
α = 90.00°, β = 103.04°, γ = 90.00°
Sites, in units of the cell vectors:
Ho1 0.159 0.250 0.319
Ho2 0.841 0.750 0.681
Ho3 0.947 0.250 0.893
Ho4 0.053 0.750 0.107
Ga1 0.224 0.750 0.448
Ga2 0.776 0.250 0.552
Ga3 0.563 0.431 0.126
Ga4 0.437 0.569 0.874
Ga5 0.437 0.931 0.874
Ga6 0.563 0.069 0.126
Cu1 0.691 0.939 0.383
Cu2 0.309 0.061 0.617
Cu3 0.309 0.439 0.617
Cu4 0.691 0.561 0.383

Values from the calculation:
- Density of states at the Fermi level: 9.839 states/eV/cell
- Polymorph energy (0 for the lowest one): 0.000 eV per atom



Material: Ho4Ga3Cu
Method: DFT, GGA-PBE
State: relaxed

a = 4.990 Å, b = 7.113 Å, c = 9.979 Å
α = 90.00°, β = 90.00°, γ = 90.00°
Sites, in units of the cell vectors:
Cu1 0.000 0.500 0.000
Cu2 0.000 0.500 0.500
Ho1 0.500 0.747 0.000
Ho2 0.500 0.747 0.500
Ho3 0.500 0.253 0.000
Ho4 0.500 0.253 0.500
Ho5 0.000 0.747 0.750
Ho6 0.000 0.747 0.250
Ho7 0.000 0.253 0.250
Ho8 0.000 0.253 0.750
Ga1 0.000 0.000 0.000
Ga2 0.000 0.000 0.500
Ga3 0.500 0.000 0.750
Ga4 0.500 0.000 0.250
Ga5 0.500 0.500 0.750
Ga6 0.500 0.500 0.250

Values from the calculation:
- Density of states at the Fermi level: 10.710 states/eV/cell
- Polymorph energy (0 for the lowest one): 0.006 eV per atom



Material: Ho2Ga7Cu
Method: DFT, GGA-PBE
State: relaxed

a = 4.154 Å, b = 4.154 Å, c = 10.868 Å
α = 90.00°, β = 90.00°, γ = 90.00°
Sites, in units of the cell vectors:
Ho1 0.500 0.000 0.759
Ho2 0.000 0.500 0.241
Ga1 0.000 0.500 0.868
Ga2 0.500 0.000 0.356
Ga3 0.500 0.000 0.132
Ga4 0.000 0.500 0.644
Ga5 0.000 0.000 0.500
Ga6 0.000 0.000 0.000
Ga7 0.500 0.500 0.500
Cu1 0.500 0.500 0.000

Values from the calculation:
- Density of states at the Fermi level: 2.764 states/eV/cell



| no. | formation enthalpy at 0 K (meV per atom) |
| --- | --- |
| 1 | -100 |
| 2 | -509 |
| 3 | -249 |
| 4 | -353 |
| 5 | -174 |
| 6 | -487 |
| 7 | -500 |
| 8 | -374 |